# 1
A plane-wave DFT calculation with PBE was carried out for a relaxed PrY3Th2P6 crystal.

Summary:
The total DFT energy (no corrections) is -7.557 eV per atom. For the total moment, the calculation gives 0.000 μB/f.u. Its formation energy from the elements is -1.60 eV per atom.

Cell lengths 7.096, 12.303, 7.053 Å; angles 90.00, 109.58, 90.00 degrees
Space group C2/m (No. 12)
Unique sites:
Pr (0.000, 0.000, 0.000) (multiplicity 2)
Y (0.000, 0.166, 0.500) (multiplicity 4)
Y (0.000, 0.500, 0.500) (multiplicity 2)
Th (0.000, 0.333, 0.000) (multiplicity 4)
P (0.246, 0.331, 0.743) (multiplicity 8)
P (0.248, 0.500, 0.258) (multiplicity 4)

=====

# 2
A plane-wave DFT calculation with PBE was carried out for a relaxed PrTiP crystal.

Summary:
The total DFT energy (no corrections) is -7.053 eV per atom. For the total moment, the calculation gives 0.001 μB/f.u. Its formation energy from the elements is -1.02 eV per atom.

Cell lengths 3.954, 3.954, 7.962 Å; angles 90.00, 90.00, 90.00 degrees
Space group P4/nmm (No. 129, origin choice 2)
Unique sites:
Pr (0.250, 0.250, 0.151) (multiplicity 2)
Ti (0.250, 0.750, 0.500) (multiplicity 2)
P (0.250, 0.250, 0.713) (multiplicity 2)

=====

# 3
A plane-wave DFT calculation with PBE was carried out for a relaxed PrTm2P crystal.

Summary:
The total DFT energy (no corrections) is -5.325 eV per atom. For the total moment, the calculation gives 0.000 μB/f.u. Its formation energy from the elements is -0.54 eV per atom.

Cell lengths 3.6950, 3.6950, 30.8068 Å; angles 90.00, 90.00, 120.00 degrees
Space group R-3m (No. 166, hexagonal axes)
Unique sites:
Pr (0.0000, 0.0000, 0.0000) (multiplicity 3)
Tm (0.0000, 0.0000, 0.1143) (multiplicity 6)
P (0.0000, 0.0000, 0.5000) (multiplicity 3)

=====

# 4
A plane-wave DFT calculation with PBE was carried out for a relaxed PrTmP2 crystal.

Summary:
The total DFT energy (no corrections) is -6.378 eV per atom. For the total moment, the calculation gives 0.000 μB/f.u. Its formation energy from the elements is -1.36 eV per atom. The energy above the most stable polymorph in this dataset is 183 meV per atom.

Cell lengths 4.0426, 4.0426, 20.7814 Å; angles 90.00, 90.00, 120.00 degrees
Space group R3m (No. 160, hexagonal axes)
Unique sites:
Pr (0.0000, 0.0000, 0.0000) (multiplicity 3)
Tm (0.0000, 0.0000, 0.8284) (multiplicity 3)
P (0.0000, 0.0000, 0.4174) (multiplicity 3)
P (0.0000, 0.0000, 0.5762) (multiplicity 3)

=====

# 5
A plane-wave DFT calculation with PBE was carried out for a relaxed PrTmP crystal.

Summary:
The total DFT energy (no corrections) is -5.795 eV per atom. For the total moment, the calculation gives 0.262 μB/f.u. Its formation energy from the elements is -0.91 eV per atom.

Cell lengths 3.9523, 3.9523, 6.5591 Å; angles 90.00, 90.00, 120.00 degrees
Space group P3m1 (No. 156)
Unique sites:
Pr (0.0000, 0.0000, 0.0000) (multiplicity 1)
Tm (0.3333, 0.6667, 0.4931) (multiplicity 1)
P (0.6667, 0.3333, 0.2659) (multiplicity 1)

=====

# 6
A plane-wave DFT calculation with PBE was carried out for a relaxed PrTmP crystal.

Summary:
The total DFT energy (no corrections) is -5.844 eV per atom. For the total moment, the calculation gives 0.000 μB/f.u. Its formation energy from the elements is -0.96 eV per atom.

Cell lengths 3.955, 5.494, 8.004 Å; angles 90.00, 90.06, 90.00 degrees
Space group P2_1/m (No. 11)
Unique sites:
Pr (0.249, 0.250, 0.126) (multiplicity 2)
Tm (0.250, 0.250, 0.618) (multiplicity 2)
P (0.250, 0.750, 0.616) (multiplicity 2)

=====

# 7
A plane-wave DFT calculation with PBE was carried out for a relaxed PrTmP2 crystal.

Summary:
The total DFT energy (no corrections) is -6.561 eV per atom. For the total moment, the calculation gives 0.000 μB/f.u. Its formation energy from the elements is -1.54 eV per atom. The energy above the most stable polymorph in this dataset is 0 meV per atom.

Cell lengths 4.0821, 4.0821, 19.9388 Å; angles 90.00, 90.00, 120.00 degrees
Space group R-3m (No. 166, hexagonal axes)
Unique sites:
Pr (0.0000, 0.0000, 0.0000) (multiplicity 3)
Tm (0.0000, 0.0000, 0.5000) (multiplicity 3)
P (0.0000, 0.0000, 0.2448) (multiplicity 6)

=====

# 8
A plane-wave DFT calculation with PBE was carried out for a relaxed Pr2TmP crystal.

Summary:
The total DFT energy (no corrections) is -5.289 eV per atom. For the total moment, the calculation gives 0.001 μB/f.u. Its formation energy from the elements is -0.43 eV per atom.

Cell lengths 3.8784, 3.8784, 30.7955 Å; angles 90.00, 90.00, 120.00 degrees
Space group R-3m (No. 166, hexagonal axes)
Unique sites:
Pr (0.0000, 0.0000, 0.1113) (multiplicity 6)
Tm (0.0000, 0.0000, 0.0000) (multiplicity 3)
P (0.0000, 0.0000, 0.5000) (multiplicity 3)